This record from the Alexandria database describes a geometry-optimized Tl2RuPt3O12 structure. The functional is PBE.

The structure in extended XYZ format:
```
18
Lattice="-1.646 -2.266 -6.673 -1.234 -7.010 -1.311 -6.670 -2.339 -1.557" Properties=species:S:1:pos:R:3 pbc="T T T"
Pt -0.823 -1.133 -3.337
O -3.942 -8.148 -3.987
Pt -3.335 -1.170 -0.779
O -8.130 -6.491 -8.075
Tl -6.515 -7.925 -6.510
O -5.607 -3.468 -5.555
O -7.875 -9.417 -4.768
O -1.420 -5.125 -1.467
O -5.356 -6.355 -2.292
O -2.299 -6.310 -5.406
O -7.250 -5.306 -4.136
Ru 0.000 0.000 0.000
Tl -3.034 -3.691 -3.032
O -4.777 -9.372 -7.923
Pt -0.617 -3.505 -0.656
O -4.772 -2.244 -1.618
O -1.674 -2.199 -4.774
O -4.193 -5.261 -7.250
```

Output
Energy = -100.7 eV for the cell shown
Density = 8.08 g/cm³
Uncorrected formation energy = -503 meV per atom
DOS(E_F) = 7.9 states/eV per cell

---

This record from the Alexandria database describes a geometry-optimized TaTcI2O structure. The functional is PBE.

The structure in extended XYZ format:
```
5
Lattice="5.764 0.000 0.000 0.000 5.764 0.000 0.000 0.000 3.856" Properties=species:S:1:pos:R:3 pbc="T T T"
Tc 2.882 2.882 1.928
O 0.000 0.000 1.928
Ta 0.000 0.000 0.000
I 2.882 0.000 0.000
I 0.000 2.882 0.000
```

Output
Energy = -29.2 eV for the cell shown
Density = 7.11 g/cm³
Offset from the most stable computed form = 0.00 kJ/mol of atoms
Uncorrected formation energy = 224 meV per atom
DOS(E_F) = 4.2 states/eV per cell

---

This record from the Alexandria database describes a geometry-optimized Tb2ErBi3 structure. The functional is PBE.

The structure in extended XYZ format:
```
6
Lattice="4.475 0.000 0.000 0.000 6.325 0.000 -2.238 -3.162 6.713" Properties=species:S:1:pos:R:3 pbc="T T T"
Er 1.119 1.581 3.356
Bi 3.357 1.581 1.142
Bi -1.119 1.581 5.570
Bi 1.119 -1.581 3.356
Tb -1.119 -1.581 5.601
Tb 3.357 4.743 1.112
```

Output
Energy = -30.6 eV for the cell shown
Calculated formation energy = -0.857 eV per atom
Density = 9.72 g/cm³
DOS(E_F) = 1.3 states/eV per cell